# YZr3Tl PBE optimized geometry
# Energy of formation (eV/atom): 1.31
# Calculated volume (Å³ per atom): 28.8
# Magnetic moment (μB per formula unit): 1.38
data_YZr3Tl
_chemical_formula_sum 'Y1 Zr3 Tl1'
_cell_length_a 5.2395
_cell_length_b 5.2395
_cell_length_c 5.2395
_cell_angle_alpha 90.00
_cell_angle_beta 90.00
_cell_angle_gamma 90.00
_space_group_name_H-M_alt 'P m -3 m'
_space_group_IT_number 221
_space_group_name_Hall '-P 4 2 3'
loop_
_atom_site_label
_atom_site_type_symbol
_atom_site_fract_x
_atom_site_fract_y
_atom_site_fract_z
Y1 Y 0.0000 0.0000 0.0000
Zr1 Zr 0.0000 0.0000 0.5000
Tl1 Tl 0.5000 0.5000 0.5000